1.
Density functional theory data (PBE) for a relaxed Ba2AlRe crystal.

Results
spin magnetization = 0.000 μB/cell
D(E_F) = 2.3 states/eV/f.u.
space group = P4mm (99)
energy of formation from the pure elements = 0.360 eV per atom

Unit cell a=3.6232 b=3.6232 c=9.5549 alpha=90.00 beta=90.00 gamma=90.00
Atoms (fractional coordinates):
Ba  0.5000  0.5000  0.3394
Ba  0.0000  0.0000  0.9060
Re  0.0000  0.0000  0.5926
Al  0.5000  0.5000  0.6620

2.
Density functional theory data (PBE) for a relaxed BaAlRe2 crystal.

Results
spin magnetization = 0.000 μB/cell
D(E_F) = 3.3 states/eV/f.u.
space group = C2 (5)
energy of formation from the pure elements = 0.915 eV per atom

Unit cell a=5.2379 b=5.2380 c=4.2750 alpha=114.19 beta=114.19 gamma=91.85
Atoms (fractional coordinates):
Re  0.2366  0.7634  0.5000
Re  0.0763  0.9237  0.0000
Ba  0.7522  0.2478  0.5000
Al  0.4349  0.5651  0.0000

3.
Density functional theory data (PBE) for a relaxed BaAlRe2 crystal.

Results
spin magnetization = 0.005 μB/cell
D(E_F) = 5.4 states/eV/f.u.
space group = R-3m (166)
energy of formation from the pure elements = 0.937 eV per atom

Unit cell a=10.3130 b=10.3130 c=10.3130 alpha=16.42 beta=16.42 gamma=16.42
Atoms (fractional coordinates):
Ba  0.7500  0.7500  0.7500
Re  0.5152  0.5152  0.5152
Re  0.9848  0.9848  0.9848
Al  0.2500  0.2500  0.2500

4.
Density functional theory data (PBE) for a relaxed BaAlRe crystal.

Results
spin magnetization = 0.000 μB/cell
D(E_F) = 3.6 states/eV/f.u.
space group = P-6m2 (187)
energy above the lowest structure with this stoichiometry = 538.8 meV per atom
energy of formation from the pure elements = 1.004 eV per atom

Unit cell a=5.0835 b=5.0835 c=3.0702 alpha=90.00 beta=90.00 gamma=120.00
Atoms (fractional coordinates):
Ba  0.6667  0.3333  0.3333
Re  0.3333  0.6667  0.8332
Al  0.0000  0.0000  0.8334